Record 1
The following is a DFT calculation (GGA-PBE) of a relaxed BaHgAu2 crystal.

The raw total energy is -10.627 eV per formula unit. The formation enthalpy at 0 K comes out at -0.462 eV per atom. Its crystal system is monoclinic.

It has space group Pm (No. 6), with a = 4.4698 Å, b = 4.8773 Å, c = 5.5872 Å, α = 90.00°, β = 100.41° and γ = 90.00°. The asymmetric unit holds Ba at (0.0000, 0.0000, 0.0000), Hg at (0.6496, 0.5000, 0.3369), Au at (0.4345, 0.5000, 0.8048) and Au at (0.4386, 0.0000, 0.5421).

Record 2
The following is a DFT calculation (GGA-PBE) of a relaxed Sc3CrC crystal.

The raw total energy is -38.139 eV per formula unit. As for the energy above the lowest structure with this stoichiometry: 0.000 eV/atom. The formation enthalpy at 0 K comes out at -0.059 eV per atom. Its crystal system is cubic.

It has space group Pm-3m (No. 221), with a = 4.5501 Å, b = 4.5501 Å, c = 4.5501 Å, α = 90.00°, β = 90.00° and γ = 90.00°. The asymmetric unit holds Sc at (0.0000, 0.0000, 0.5000), Cr at (0.5000, 0.5000, 0.5000) and C at (0.0000, 0.0000, 0.0000).

Record 3
The following is a DFT calculation (GGA-PBE) of a relaxed Al2Si2O11 crystal.

The raw total energy is -96.659 eV per formula unit. The value obtained for the uncorrected formation energy is -23.8 eV per formula unit. As for the energy above the lowest structure with this stoichiometry: 0.221 eV/atom. Its crystal system is monoclinic.

It has space group Cm (No. 8), with a = 4.9721 Å, b = 9.1334 Å, c = 10.9860 Å, α = 90.00°, β = 96.80° and γ = 90.00°. The asymmetric unit holds Al at (0.0000, 0.2501, 0.0000), Si at (0.3769, 0.2500, 0.5650), O at (0.0449, 0.0000, 0.3279), O at (0.1067, 0.3376, 0.4878), O at (0.1476, 0.1632, 0.6440), O at (0.2085, 0.5000, 0.8417), O at (0.2281, 0.3646, 0.9165), O at (0.2667, 0.1519, 0.0639) and O at (0.3565, 0.5000, 0.2445).

Record 4
The following is a DFT calculation (GGA-PBE) of a relaxed Fe2ReOs2 crystal.

The raw total energy is -50.857 eV per formula unit. The formation enthalpy at 0 K comes out at 0.195 eV per atom. Its crystal system is tetragonal.

It has space group P4/mbm (No. 127), with a = 6.9654 Å, b = 6.9654 Å, c = 2.6911 Å, α = 90.00°, β = 90.00° and γ = 90.00°. The asymmetric unit holds Fe at (0.1197, 0.3803, 0.0000), Re at (0.0000, 0.0000, 0.0000) and Os at (0.1756, 0.6756, 0.5000).

Record 5
The following is a DFT calculation (GGA-PBE) of a relaxed Tm4SnGe2 crystal.

The raw total energy is -35.210 eV per formula unit. The formation enthalpy at 0 K comes out at -0.584 eV per atom. Its crystal system is tetragonal.

It has space group I4_1/amd (No. 141, origin choice 2), with a = 9.2426 Å, b = 9.2426 Å, c = 9.1684 Å, α = 90.00°, β = 90.00° and γ = 90.00°. The asymmetric unit holds Tm at (0.0000, 0.0694, 0.2021), Sn at (0.0000, 0.2500, 0.8750) and Ge at (0.0000, 0.0000, 0.5000).

Record 6
The following is a DFT calculation (GGA-PBE) of a relaxed SiIr2Pb crystal.

The raw total energy is -27.093 eV per formula unit. The value obtained for the uncorrected formation energy is -0.2 eV per formula unit. As for the energy above the lowest structure with this stoichiometry: 0.060 eV/atom. Its crystal system is monoclinic.

It has space group C2/m (No. 12), with a = 6.5877 Å, b = 3.8003 Å, c = 6.3708 Å, α = 90.00°, β = 111.87° and γ = 90.00°. The asymmetric unit holds Si at (0.0000, 0.0000, 0.0000), Ir at (0.2251, 0.5000, 0.1612) and Pb at (0.0000, 0.5000, 0.5000).

Record 7
The following is a DFT calculation (GGA-PBE) of a relaxed Tb2Ga5Co2Pd crystal.

The raw total energy is -48.470 eV per formula unit. The formation enthalpy at 0 K comes out at -0.467 eV per atom. Its crystal system is tetragonal.

It has space group P4/mbm (No. 127), with a = 9.1526 Å, b = 9.1526 Å, c = 4.0383 Å, α = 90.00°, β = 90.00° and γ = 90.00°. The asymmetric unit holds Tb at (0.1820, 0.3180, 0.0000), Ga at (0.0000, 0.5000, 0.5000), Ga at (0.0605, 0.7922, 0.5000), Co at (0.1119, 0.6119, 0.0000) and Pd at (0.0000, 0.0000, 0.0000).

Record 8
The following is a DFT calculation (GGA-PBE) of a relaxed K3NaPb crystal.

The raw total energy is -8.665 eV per formula unit. As for the energy above the lowest structure with this stoichiometry: 0.000 eV/atom. The formation enthalpy at 0 K comes out at -0.069 eV per atom. Its crystal system is monoclinic.

It has space group P2/c (No. 13), with a = 10.7863 Å, b = 7.4398 Å, c = 12.2839 Å, α = 90.00°, β = 106.38° and γ = 90.00°. The asymmetric unit holds K at (0.0014, 0.2362, 0.0943), K at (0.2094, 0.2525, 0.8000), K at (0.3834, 0.4929, 0.0950), Na at (0.4025, 0.0070, 0.0961) and Pb at (0.3094, 0.2205, 0.3291).

- The lowest raw total energy belongs to which entry?
  Al2Si2O11

- The highest raw total energy belongs to which entry?
  K3NaPb

What did the fifth record say?
The following is a DFT calculation (GGA-PBE) of a relaxed Tm4SnGe2 crystal.

The raw total energy is -35.210 eV per formula unit. The formation enthalpy at 0 K comes out at -0.584 eV per atom. Its crystal system is tetragonal.

It has space group I4_1/amd (No. 141, origin choice 2), with a = 9.2426 Å, b = 9.2426 Å, c = 9.1684 Å, α = 90.00°, β = 90.00° and γ = 90.00°. The asymmetric unit holds Tm at (0.0000, 0.0694, 0.2021), Sn at (0.0000, 0.2500, 0.8750) and Ge at (0.0000, 0.0000, 0.5000).